Record 1
DFT (PBE) results for a relaxed structure of Pr4Sm3Dy8.

abc: 12.6063 12.6063 12.6063
angles: 32.31 32.31 32.31
Positions (direct):
Pr 0.0000 0.0000 0.0000
Pr 0.1636 0.1636 0.1636
Pr 0.5000 0.5000 0.5000
Pr 0.8364 0.8364 0.8364
Sm 0.0000 0.5000 0.5000
Sm 0.5000 0.0000 0.5000
Sm 0.5000 0.5000 0.0000
Dy 0.2500 0.2500 0.7480
Dy 0.2500 0.7480 0.2500
Dy 0.2520 0.7500 0.7500
Dy 0.2547 0.2547 0.2547
Dy 0.7453 0.7453 0.7453
Dy 0.7480 0.2500 0.2500
Dy 0.7500 0.2520 0.7500
Dy 0.7500 0.7500 0.2520

Output
Energy above the most stable polymorph in this dataset ... 0.0000 eV per atom
Formation enthalpy at 0 K ... 1.812 eV/f.u.
Total magnetic moment ... 0.00 μB per atom
Volume ... 33.92 Å³ per atom

***

Record 2
DFT (PBE) results for a relaxed structure of NaH2AuF8.

abc: 5.0070 5.0070 6.9284
angles: 91.61 91.61 73.28
Positions (direct):
Na 0.0000 0.0000 0.0000
H 0.2942 0.2942 0.7870
H 0.7058 0.7058 0.2130
Au 0.0000 0.0000 0.5000
F 0.2060 0.7658 0.7070
F 0.2342 0.7940 0.2930
F 0.2414 0.2414 0.5427
F 0.2826 0.2826 0.9245
F 0.7174 0.7174 0.0755
F 0.7586 0.7586 0.4573
F 0.7658 0.2060 0.7070
F 0.7940 0.2342 0.2930

Output
Uncorrected energy ... -43.85 eV/cell
Total magnetic moment ... 0.00 μB per atom
Volume ... 13.85 Å³ per atom

***

Record 3
DFT (PBE) results for a relaxed structure of Sr2PmUAs4.

abc: 7.4059 4.3073 7.5486
angles: 90.00 109.04 90.00
Positions (direct):
Sr 0.0000 0.0000 0.0000
Sr 0.5000 0.5000 0.0000
Pm 0.0000 0.5000 0.5000
U 0.5000 0.0000 0.5000
As 0.2568 0.0000 0.7212
As 0.2735 0.5000 0.2841
As 0.7265 0.5000 0.7159
As 0.7432 0.0000 0.2788

Output
Formation enthalpy at 0 K ... -9.136 eV/f.u.
Total magnetic moment ... 0.12 μB per atom
Volume ... 28.45 Å³ per atom

***

Record 4
DFT (PBE) results for a relaxed structure of Co12Tc17.

abc: 7.8849 7.8849 7.8849
angles: 109.47 109.47 109.47
Positions (direct):
Co 0.0000 0.1854 0.3635
Co 0.0000 0.3635 0.1854
Co 0.1780 0.8146 0.8146
Co 0.1854 0.0000 0.3635
Co 0.1854 0.3635 0.0000
Co 0.3635 0.0000 0.1854
Co 0.3635 0.1854 0.0000
Co 0.6365 0.6365 0.8220
Co 0.6365 0.8220 0.6365
Co 0.8146 0.1780 0.8146
Co 0.8146 0.8146 0.1780
Co 0.8220 0.6365 0.6365
Tc 0.0000 0.0000 0.0000
Tc 0.0000 0.0000 0.6406
Tc 0.0000 0.4010 0.6846
Tc 0.0000 0.6406 0.0000
Tc 0.0000 0.6846 0.4010
Tc 0.2836 0.5990 0.5990
Tc 0.3154 0.3154 0.7164
Tc 0.3154 0.7164 0.3154
Tc 0.3594 0.3594 0.3594
Tc 0.4010 0.0000 0.6846
Tc 0.4010 0.6846 0.0000
Tc 0.5990 0.2836 0.5990
Tc 0.5990 0.5990 0.2836
Tc 0.6406 0.0000 0.0000
Tc 0.6846 0.0000 0.4010
Tc 0.6846 0.4010 0.0000
Tc 0.7164 0.3154 0.3154

Output
Formation enthalpy at 0 K ... 1.160 eV/f.u.
Total magnetic moment ... 0.63 μB per atom
Volume ... 13.01 Å³ per atom

***

Record 5
DFT (PBE) results for a relaxed structure of TeAsIrAu.

abc: 3.6504 3.6504 7.6837
angles: 90.00 90.00 120.00
Positions (direct):
Te 0.0000 0.0000 0.0000
As 0.6667 0.3333 0.3999
Ir 0.3333 0.6667 0.2383
Au 0.6667 0.3333 0.7225

Output
Energy above the most stable polymorph in this dataset ... 0.0581 eV per atom
Total magnetic moment ... 0.00 μB per atom
Raw formation energy ... -16.5 meV/atom
Volume ... 22.17 Å³ per atom